# ZnCuGeIr

A relaxed ZnCuGeIr crystal (GGA-PBE, the Open Quantum Materials Database).

a = 6.1599 Å, b = 6.1599 Å, c = 6.1599 Å
α = 90.00°, β = 90.00°, γ = 90.00°
Closest atoms and distances in Å follow each position.
Atoms (fractional coordinates):
1 Zn 0.0000 0.0000 0.0000  4 Ir 2.67, 4 Ge 2.67
2 Zn 0.0000 0.5000 0.5000  4 Ir 2.67, 4 Ge 2.67
3 Zn 0.5000 0.0000 0.5000  4 Ir 2.67, 4 Ge 2.67
4 Zn 0.5000 0.5000 0.0000  4 Ir 2.67, 4 Ge 2.67
5 Cu 0.0000 0.0000 0.5000  4 Ge 2.67, 4 Ir 2.67
6 Cu 0.0000 0.5000 0.0000  4 Ge 2.67, 4 Ir 2.67
7 Cu 0.5000 0.0000 0.0000  4 Ge 2.67, 4 Ir 2.67
8 Cu 0.5000 0.5000 0.5000  4 Ge 2.67, 4 Ir 2.67
9 Ge 0.2500 0.2500 0.2500  4 Cu 2.67, 4 Zn 2.67
10 Ge 0.2500 0.7500 0.7500  4 Cu 2.67, 4 Zn 2.67
11 Ge 0.7500 0.2500 0.7500  4 Cu 2.67, 4 Zn 2.67
12 Ge 0.7500 0.7500 0.2500  4 Cu 2.67, 4 Zn 2.67
13 Ir 0.2500 0.2500 0.7500  4 Cu 2.67, 4 Zn 2.67
14 Ir 0.2500 0.7500 0.2500  4 Cu 2.67, 4 Zn 2.67
15 Ir 0.7500 0.2500 0.2500  4 Cu 2.67, 4 Zn 2.67
16 Ir 0.7500 0.7500 0.7500  4 Cu 2.67, 4 Zn 2.67

Computed properties:
- Crystal system: cubic
- Total moment: 0.011 μB/cell
- Total DFT energy (no corrections): -4.421 eV/atom
- Symmetry: No. 216
- Energy relative to the lowest polymorph listed for this composition: 237 meV per atom

# ZnCuGeIr

A relaxed ZnCuGeIr crystal (GGA-PBE, the Open Quantum Materials Database).

a = 6.0835 Å, b = 6.0835 Å, c = 6.0835 Å
α = 90.00°, β = 90.00°, γ = 90.00°
Closest atoms and distances in Å follow each position.
Atoms (fractional coordinates):
1 Zn 0.0000 0.0000 0.0000  4 Cu 2.63, 4 Ir 2.63
2 Zn 0.0000 0.5000 0.5000  4 Cu 2.63, 4 Ir 2.63
3 Zn 0.5000 0.0000 0.5000  4 Cu 2.63, 4 Ir 2.63
4 Zn 0.5000 0.5000 0.0000  4 Cu 2.63, 4 Ir 2.63
5 Cu 0.2500 0.2500 0.7500  4 Ge 2.63, 4 Zn 2.63
6 Cu 0.2500 0.7500 0.2500  4 Ge 2.63, 4 Zn 2.63
7 Cu 0.7500 0.2500 0.2500  4 Ge 2.63, 4 Zn 2.63
8 Cu 0.7500 0.7500 0.7500  4 Ge 2.63, 4 Zn 2.63
9 Ge 0.0000 0.0000 0.5000  4 Ir 2.63, 4 Cu 2.63
10 Ge 0.0000 0.5000 0.0000  4 Ir 2.63, 4 Cu 2.63
11 Ge 0.5000 0.0000 0.0000  4 Ir 2.63, 4 Cu 2.63
12 Ge 0.5000 0.5000 0.5000  4 Ir 2.63, 4 Cu 2.63
13 Ir 0.2500 0.2500 0.2500  4 Zn 2.63, 4 Ge 2.63
14 Ir 0.2500 0.7500 0.7500  4 Zn 2.63, 4 Ge 2.63
15 Ir 0.7500 0.2500 0.7500  4 Zn 2.63, 4 Ge 2.63
16 Ir 0.7500 0.7500 0.2500  4 Zn 2.63, 4 Ge 2.63

Computed properties:
- Crystal system: cubic
- Total moment: 0.006 μB/cell
- Total DFT energy (no corrections): -4.658 eV/atom
- Symmetry: No. 216
- Energy relative to the lowest polymorph listed for this composition: 0 meV per atom

# K2Cu2GeS4

A relaxed K2Cu2GeS4 crystal (GGA-PBE, the Open Quantum Materials Database).

a = 7.1039 Å, b = 5.3944 Å, c = 11.1779 Å
α = 90.00°, β = 112.95°, γ = 90.00°
Closest atoms and distances in Å follow each position.
Atoms (fractional coordinates):
1 K 0.0000 0.0000 0.0000  8 S 3.20-3.44
2 K 0.0000 0.0000 0.5000  8 S 3.20-3.44
3 K 0.0000 0.4750 0.2500  8 S 3.29-3.43, 2 Cu 3.66
4 K 0.0000 0.5250 0.7500  8 S 3.29-3.43, 2 Cu 3.66
5 Cu 0.4997 0.2479 0.0285  4 S 2.29-2.51
6 Cu 0.5003 0.2479 0.4715  4 S 2.29-2.51
7 Cu 0.4997 0.7521 0.5285  4 S 2.29-2.51
8 Cu 0.5003 0.7521 0.9715  4 S 2.29-2.51
9 Ge 0.5000 0.2519 0.7500  4 S 2.26
10 Ge 0.5000 0.7481 0.2500  4 S 2.26
11 S 0.2945 0.0316 0.8221  1 Ge 2.26, 2 Cu 2.30-2.49
12 S 0.2952 0.4731 0.5763  1 Ge 2.26, 2 Cu 2.29-2.51
13 S 0.2952 0.5269 0.0763  1 Ge 2.26, 2 Cu 2.29-2.51
14 S 0.2945 0.9684 0.3221  1 Ge 2.26, 2 Cu 2.30-2.49
15 S 0.7055 0.0316 0.6779  1 Ge 2.26, 2 Cu 2.30-2.49
16 S 0.7048 0.4731 0.9237  1 Ge 2.26, 2 Cu 2.29-2.51
17 S 0.7048 0.5269 0.4237  1 Ge 2.26, 2 Cu 2.29-2.51
18 S 0.7055 0.9684 0.1779  1 Ge 2.26, 2 Cu 2.30-2.49

Computed properties:
- Crystal system: monoclinic
- Total DFT energy (no corrections): -4.100 eV/atom
- Symmetry: No. 13

# KCu3GeS4

A relaxed KCu3GeS4 crystal (GGA-PBE, the Open Quantum Materials Database).

a = 5.5878 Å, b = 7.3277 Å, c = 9.6383 Å
α = 90.00°, β = 104.57°, γ = 90.00°
Closest atoms and distances in Å follow each position.
Atoms (fractional coordinates):
1 K 0.1936 0.2500 0.3665  9 S 3.32-3.70, 1 Cu 3.70
2 K 0.8064 0.7500 0.6335  9 S 3.32-3.70, 1 Cu 3.70
3 Cu 0.2959 0.5607 0.0256  3 S 2.30-2.43
4 Cu 0.2959 0.9393 0.0256  3 S 2.30-2.43
5 Cu 0.4193 0.7500 0.2605  3 S 2.23-2.37
6 Cu 0.5807 0.2500 0.7395  3 S 2.23-2.37
7 Cu 0.7041 0.0607 0.9744  3 S 2.30-2.43
8 Cu 0.7041 0.4393 0.9744  3 S 2.30-2.43
9 Ge 0.1271 0.2500 0.7770  4 S 2.20-2.29
10 Ge 0.8729 0.7500 0.2230  4 S 2.20-2.29
11 S 0.0392 0.2500 0.9970  1 Ge 2.29, 2 Cu 2.30
12 S 0.1824 0.7500 0.4158  1 Ge 2.20, 1 Cu 2.23
13 S 0.3614 0.5085 0.7885  1 Ge 2.29, 3 Cu 2.33-2.43
14 S 0.3614 0.9915 0.7885  1 Ge 2.29, 3 Cu 2.33-2.43
15 S 0.6386 0.0085 0.2115  1 Ge 2.29, 3 Cu 2.33-2.43
16 S 0.6386 0.4915 0.2115  1 Ge 2.29, 3 Cu 2.33-2.43
17 S 0.8176 0.2500 0.5842  1 Ge 2.20, 1 Cu 2.23
18 S 0.9608 0.7500 0.0030  1 Ge 2.29, 2 Cu 2.30

Computed properties:
- Crystal system: monoclinic
- Total DFT energy (no corrections): -4.146 eV/atom
- Symmetry: No. 11
- Energy relative to the lowest polymorph listed for this composition: 0 meV per atom

# KCu3GeS4

A relaxed KCu3GeS4 crystal (GGA-PBE, the Open Quantum Materials Database).

a = 5.9107 Å, b = 5.9107 Å, c = 5.9107 Å
α = 90.00°, β = 90.00°, γ = 90.00°
Closest atoms and distances in Å follow each position.
Atoms (fractional coordinates):
1 K 0.0000 0.0000 0.0000  4 S 2.91
2 Cu 0.0000 0.5000 0.5000  4 S 2.46
3 Cu 0.5000 0.0000 0.5000  4 S 2.46
4 Cu 0.5000 0.5000 0.0000  4 S 2.46
5 Ge 0.5000 0.5000 0.5000  4 S 2.21
6 S 0.2843 0.2843 0.2843  1 Ge 2.21, 3 Cu 2.46
7 S 0.2843 0.7157 0.7157  1 Ge 2.21, 3 Cu 2.46
8 S 0.7157 0.2843 0.7157  1 Ge 2.21, 3 Cu 2.46
9 S 0.7157 0.7157 0.2843  1 Ge 2.21, 3 Cu 2.46

Computed properties:
- Crystal system: cubic
- Total DFT energy (no corrections): -4.032 eV/atom
- Symmetry: No. 215
- Energy relative to the lowest polymorph listed for this composition: 114 meV per atom

# KCuGeSeS2

A relaxed KCuGeSeS2 crystal (GGA-PBE, the Open Quantum Materials Database).

a = 7.6125 Å, b = 7.6125 Å, c = 10.3591 Å
α = 90.00°, β = 90.00°, γ = 152.71°
Closest atoms and distances in Å follow each position.
Atoms (fractional coordinates):
1 K 0.2495 0.7505 0.7500  2 Se 3.33, 4 S 3.40, 2 Cu 3.45, 2 K 3.59
2 K 0.7505 0.2495 0.2500  2 Se 3.33, 4 S 3.40, 2 Cu 3.45, 2 K 3.59
3 Cu 0.4493 0.5507 0.2500  2 S 2.25, 2 Se 2.44
4 Cu 0.5507 0.4493 0.7500  2 S 2.25, 2 Se 2.44
5 Ge 0.0000 0.0000 0.0000  4 S 2.51, 2 Se 2.74
6 Ge 0.0000 0.0000 0.5000  4 S 2.51, 2 Se 2.74
7 Se 0.0612 0.9388 0.2500  2 Cu 2.44
8 Se 0.9388 0.0612 0.7500  2 Cu 2.44
9 S 0.3871 0.6129 0.0517  1 Cu 2.25, 2 Ge 2.51
10 S 0.3871 0.6129 0.4483  1 Cu 2.25, 2 Ge 2.51
11 S 0.6129 0.3871 0.5517  1 Cu 2.25, 2 Ge 2.51
12 S 0.6129 0.3871 0.9483  1 Cu 2.25, 2 Ge 2.51

Computed properties:
- Crystal system: orthorhombic
- Total DFT energy (no corrections): -3.959 eV/atom
- Symmetry: No. 63

# KCuGeSe3

A relaxed KCuGeSe3 crystal (GGA-PBE, the Open Quantum Materials Database).

a = 7.6223 Å, b = 7.6223 Å, c = 10.5464 Å
α = 90.00°, β = 90.00°, γ = 151.65°
Closest atoms and distances in Å follow each position.
Atoms (fractional coordinates):
1 K 0.2417 0.7583 0.7500  8 Se 3.40-3.54, 2 Cu 3.52, 2 K 3.73
2 K 0.7583 0.2417 0.2500  8 Se 3.40-3.54, 2 Cu 3.52, 2 K 3.73
3 Cu 0.0560 0.9440 0.2500  4 Se 2.41-2.44
4 Cu 0.9440 0.0560 0.7500  4 Se 2.41-2.44
5 Ge 0.5000 0.5000 0.0000  6 Se 2.65-2.74
6 Ge 0.5000 0.5000 0.5000  6 Se 2.65-2.74
7 Se 0.1236 0.8764 0.0423  1 Cu 2.41, 2 Ge 2.65
8 Se 0.1236 0.8764 0.4577  1 Cu 2.41, 2 Ge 2.65
9 Se 0.4503 0.5497 0.2500  2 Cu 2.44
10 Se 0.5497 0.4503 0.7500  2 Cu 2.44
11 Se 0.8764 0.1236 0.5423  1 Cu 2.41, 2 Ge 2.65
12 Se 0.8764 0.1236 0.9577  1 Cu 2.41, 2 Ge 2.65

Computed properties:
- Crystal system: orthorhombic
- Total DFT energy (no corrections): -3.734 eV/atom
- Symmetry: No. 63
- Energy relative to the lowest polymorph listed for this composition: 53 meV per atom

# KCuGeSe3

A relaxed KCuGeSe3 crystal (GGA-PBE, the Open Quantum Materials Database).

a = 8.7321 Å, b = 3.9278 Å, c = 9.4827 Å
α = 90.00°, β = 111.20°, γ = 90.00°
Closest atoms and distances in Å follow each position.
Atoms (fractional coordinates):
1 K 0.2217 0.2500 0.2697  7 Se 3.37-3.70, 1 Cu 3.70
2 K 0.7783 0.7500 0.7303  7 Se 3.37-3.70, 1 Cu 3.70
3 Cu 0.0642 0.2500 0.5834  4 Se 2.44-2.48, 2 Cu 2.52
4 Cu 0.9358 0.7500 0.4166  4 Se 2.44-2.48, 2 Cu 2.52
5 Ge 0.3286 0.7500 0.8622  6 Se 2.53-2.70
6 Ge 0.6714 0.2500 0.1378  6 Se 2.53-2.70
7 Se 0.1244 0.2500 0.8562  1 Cu 2.45, 2 Ge 2.64
8 Se 0.2294 0.7500 0.5656  3 Cu 2.44-2.48, 1 Ge 2.63
9 Se 0.4624 0.7500 0.1473  3 Ge 2.53-2.70
10 Se 0.5376 0.2500 0.8527  3 Ge 2.53-2.70
11 Se 0.7706 0.2500 0.4344  3 Cu 2.44-2.48, 1 Ge 2.63
12 Se 0.8756 0.7500 0.1438  1 Cu 2.45, 2 Ge 2.64

Computed properties:
- Crystal system: monoclinic
- Total DFT energy (no corrections): -3.787 eV/atom
- Symmetry: No. 11
- Energy relative to the lowest polymorph listed for this composition: 0 meV per atom

# KCuGeTeSe2

A relaxed KCuGeTeSe2 crystal (GGA-PBE, the Open Quantum Materials Database).

a = 8.0741 Å, b = 8.0741 Å, c = 10.9929 Å
α = 90.00°, β = 90.00°, γ = 153.19°
Closest atoms and distances in Å follow each position.
Atoms (fractional coordinates):
1 K 0.2402 0.7598 0.7500  4 Se 3.47, 2 Cu 3.48, 2 Te 3.60, 2 K 3.74
2 K 0.7598 0.2402 0.2500  4 Se 3.47, 2 Cu 3.48, 2 Te 3.60, 2 K 3.74
3 Cu 0.4465 0.5535 0.2500  2 Se 2.38, 2 Te 2.63
4 Cu 0.5535 0.4465 0.7500  2 Se 2.38, 2 Te 2.63
5 Ge 0.0000 0.0000 0.0000  4 Se 2.67, 2 Te 2.93
6 Ge 0.0000 0.0000 0.5000  4 Se 2.67, 2 Te 2.93
7 Te 0.0641 0.9359 0.2500  2 Cu 2.63, 2 Ge 2.93
8 Te 0.9359 0.0641 0.7500  2 Cu 2.63, 2 Ge 2.93
9 Se 0.3847 0.6153 0.0523  1 Cu 2.38
10 Se 0.3847 0.6153 0.4477  1 Cu 2.38
11 Se 0.6153 0.3847 0.5523  1 Cu 2.38
12 Se 0.6153 0.3847 0.9477  1 Cu 2.38

Computed properties:
- Crystal system: orthorhombic
- Total DFT energy (no corrections): -3.623 eV/atom
- Symmetry: No. 63

# KCuGeTe3

A relaxed KCuGeTe3 crystal (GGA-PBE, the Open Quantum Materials Database).

a = 8.1704 Å, b = 8.1704 Å, c = 11.4284 Å
α = 90.00°, β = 90.00°, γ = 152.72°
Closest atoms and distances in Å follow each position.
Atoms (fractional coordinates):
1 K 0.2431 0.7569 0.7500  2 Cu 3.63, 8 Te 3.64-3.79, 2 K 3.85
2 K 0.7569 0.2431 0.2500  2 Cu 3.63, 8 Te 3.64-3.79, 2 K 3.85
3 Cu 0.0633 0.9367 0.2500  4 Te 2.60-2.62
4 Cu 0.9367 0.0633 0.7500  4 Te 2.60-2.62
5 Ge 0.5000 0.5000 0.0000  6 Te 2.88-2.96
6 Ge 0.5000 0.5000 0.5000  6 Te 2.88-2.96
7 Te 0.1309 0.8691 0.0432  1 Cu 2.60, 2 Ge 2.88
8 Te 0.1309 0.8691 0.4568  1 Cu 2.60, 2 Ge 2.88
9 Te 0.4514 0.5486 0.2500  2 Cu 2.62
10 Te 0.5486 0.4514 0.7500  2 Cu 2.62
11 Te 0.8691 0.1309 0.5432  1 Cu 2.60, 2 Ge 2.88
12 Te 0.8691 0.1309 0.9568  1 Cu 2.60, 2 Ge 2.88

Computed properties:
- Crystal system: orthorhombic
- Total DFT energy (no corrections): -3.410 eV/atom
- Symmetry: No. 63
- Energy relative to the lowest polymorph listed for this composition: 27 meV per atom

# KCu3GeTe4

A relaxed KCu3GeTe4 crystal (GGA-PBE, the Open Quantum Materials Database).

a = 6.5944 Å, b = 6.5944 Å, c = 6.5944 Å
α = 90.00°, β = 90.00°, γ = 90.00°
Closest atoms and distances in Å follow each position.
Atoms (fractional coordinates):
1 K 0.0000 0.0000 0.0000  4 Te 3.16
2 Cu 0.0000 0.5000 0.5000  4 Te 2.77
3 Cu 0.5000 0.0000 0.5000  4 Te 2.77
4 Cu 0.5000 0.5000 0.0000  4 Te 2.77
5 Ge 0.5000 0.5000 0.5000  4 Te 2.55
6 Te 0.2768 0.2768 0.2768  1 Ge 2.55, 3 Cu 2.77
7 Te 0.2768 0.7232 0.7232  1 Ge 2.55, 3 Cu 2.77
8 Te 0.7232 0.2768 0.7232  1 Ge 2.55, 3 Cu 2.77
9 Te 0.7232 0.7232 0.2768  1 Ge 2.55, 3 Cu 2.77

Computed properties:
- Crystal system: cubic
- Total DFT energy (no corrections): -3.304 eV/atom
- Symmetry: No. 215

# KCuGeTe3

A relaxed KCuGeTe3 crystal (GGA-PBE, the Open Quantum Materials Database).

a = 9.5376 Å, b = 4.1850 Å, c = 10.0793 Å
α = 90.00°, β = 112.00°, γ = 90.00°
Closest atoms and distances in Å follow each position.
Atoms (fractional coordinates):
1 K 0.2198 0.2500 0.2599  7 Te 3.58-3.86, 1 Cu 4.00
2 K 0.7802 0.7500 0.7401  7 Te 3.58-3.86, 1 Cu 4.00
3 Cu 0.0620 0.2500 0.5758  4 Te 2.58-2.66, 2 Cu 2.60
4 Cu 0.9380 0.7500 0.4242  4 Te 2.58-2.66, 2 Cu 2.60
5 Ge 0.3258 0.7500 0.8621  6 Te 2.73-2.94
6 Ge 0.6742 0.2500 0.1379  6 Te 2.73-2.94
7 Te 0.1167 0.2500 0.8512  1 Cu 2.62, 2 Ge 2.86
8 Te 0.2273 0.7500 0.5592  3 Cu 2.58-2.66, 1 Ge 2.84
9 Te 0.4646 0.7500 0.1537  3 Ge 2.73-2.94
10 Te 0.5354 0.2500 0.8463  3 Ge 2.73-2.94
11 Te 0.7727 0.2500 0.4408  3 Cu 2.58-2.66, 1 Ge 2.84
12 Te 0.8833 0.7500 0.1488  1 Cu 2.62, 2 Ge 2.86

Computed properties:
- Crystal system: monoclinic
- Total DFT energy (no corrections): -3.438 eV/atom
- Symmetry: No. 11
- Energy relative to the lowest polymorph listed for this composition: 0 meV per atom

Q: What is the total DFT energy (no corrections) in the eighth record?
A: -3.787 eV/atom

Q: Among the records above, which one has the highest total DFT energy (no corrections)?
A: KCu3GeTe4

Copy entry 7 word for word.
# KCuGeSe3

A relaxed KCuGeSe3 crystal (GGA-PBE, the Open Quantum Materials Database).

a = 7.6223 Å, b = 7.6223 Å, c = 10.5464 Å
α = 90.00°, β = 90.00°, γ = 151.65°
Closest atoms and distances in Å follow each position.
Atoms (fractional coordinates):
1 K 0.2417 0.7583 0.7500  8 Se 3.40-3.54, 2 Cu 3.52, 2 K 3.73
2 K 0.7583 0.2417 0.2500  8 Se 3.40-3.54, 2 Cu 3.52, 2 K 3.73
3 Cu 0.0560 0.9440 0.2500  4 Se 2.41-2.44
4 Cu 0.9440 0.0560 0.7500  4 Se 2.41-2.44
5 Ge 0.5000 0.5000 0.0000  6 Se 2.65-2.74
6 Ge 0.5000 0.5000 0.5000  6 Se 2.65-2.74
7 Se 0.1236 0.8764 0.0423  1 Cu 2.41, 2 Ge 2.65
8 Se 0.1236 0.8764 0.4577  1 Cu 2.41, 2 Ge 2.65
9 Se 0.4503 0.5497 0.2500  2 Cu 2.44
10 Se 0.5497 0.4503 0.7500  2 Cu 2.44
11 Se 0.8764 0.1236 0.5423  1 Cu 2.41, 2 Ge 2.65
12 Se 0.8764 0.1236 0.9577  1 Cu 2.41, 2 Ge 2.65

Computed properties:
- Crystal system: orthorhombic
- Total DFT energy (no corrections): -3.734 eV/atom
- Symmetry: No. 63
- Energy relative to the lowest polymorph listed for this composition: 53 meV per atom

Q: The highest total DFT energy (no corrections) belongs to which entry?
A: KCu3GeTe4